Hf6MnPt3: optimized geometry, GGA-PBE.

```
20
Lattice="6.165 0.000 -0.088 0.000 7.142 0.000 -0.049 0.000 9.238" Properties=species:S:1:pos:R:3 pbc="T T T"
Hf 3.946 1.081 8.555
Hf 5.070 6.825 2.144
Mn 0.000 0.000 0.000
Hf 5.254 4.933 8.578
Pt -0.025 0.000 4.619
Hf 3.920 1.362 5.147
Mn 3.058 3.571 4.575
Hf 2.170 6.061 0.595
Pt 3.452 6.219 6.647
Pt 2.664 0.923 2.503
Hf 0.888 2.490 3.980
Pt 5.723 2.648 7.077
Pt 0.394 4.494 2.072
Hf 1.963 3.888 6.808
Hf 5.229 4.652 5.170
Pt 3.083 3.571 -0.044
Hf 2.196 5.780 4.003
Hf 0.862 2.209 0.572
Hf 4.153 3.254 2.342
Hf 1.046 0.317 7.006
```

Summary:
* SG: P2_1/c, No. 14
* electronic total energy: -9.187 eV/atom
* formation energy: -486 meV/atom



CdH2BrO2: optimized geometry, GGA-PBE.

```
12
Lattice="-1.226 -1.247 4.091 -5.803 -1.958 -2.335 6.081 -4.632 0.410" Properties=species:S:1:pos:R:3 pbc="T T T"
H 0.165 -2.098 0.620
H -1.113 -5.739 1.546
Br 2.110 -5.072 2.715
O -0.408 -2.077 1.668
Cd 4.358 -5.052 0.975
O -1.019 -2.699 3.707
O -0.539 -5.759 0.498
Cd -5.306 -2.784 1.191
O 0.071 -5.138 -1.541
H -0.844 -2.771 2.531
Br -3.057 -2.764 -0.549
H -0.103 -5.065 -0.365
```

Summary:
* SG: P2_1/m, No. 11
* electronic total energy: -3.747 eV/atom



Nd12Ga3C5: optimized geometry, GGA-PBE.

```
80
Lattice="-3.794 10.200 8.950 1.241 -12.167 6.998 12.356 3.298 -5.915" Properties=species:S:1:pos:R:3 pbc="T T T"
C 1.682 -7.684 7.621
Nd 0.418 6.278 9.659
Nd 3.620 -0.102 7.196
C 5.090 -6.613 4.149
C -1.276 -0.983 7.974
Nd 4.058 1.003 10.743
Nd 1.140 -5.903 6.083
Nd 5.916 4.735 1.013
C -1.897 5.100 4.475
Nd 6.906 -5.643 2.889
Nd 9.605 4.451 1.568
C 6.723 3.794 7.769
Nd 10.536 -1.992 -1.786
Nd 12.030 -4.503 3.041
Nd 2.897 6.974 7.144
Nd 1.670 -1.779 11.979
C 0.000 0.000 0.000
C 6.799 -4.435 0.541
Ga 10.648 1.119 -2.307
C 7.240 0.048 1.165
Nd 0.199 -3.120 8.465
C 4.713 7.944 5.884
Nd 0.285 0.647 9.348
Ga 2.573 4.570 5.125
Nd 10.078 -1.914 4.604
Nd 9.675 2.092 4.286
Nd 4.290 10.212 5.173
Nd 2.427 -0.636 0.828
Nd 7.511 -2.251 1.848
Nd 8.580 4.844 6.639
Nd 0.128 -0.761 5.747
C 0.432 1.196 4.366
Ga 7.361 4.286 3.782
Nd 3.888 -3.404 9.020
Nd 7.376 1.967 9.205
C 3.080 -2.463 2.264
Nd 1.223 -3.513 3.394
C 8.122 9.015 2.412
C 0.620 -6.083 3.499
Nd 2.745 1.678 3.873
Nd 9.385 -4.947 0.374
Nd -0.275 3.245 5.429
Nd 7.367 -3.569 8.116
C 2.564 1.282 8.868
C 8.000 4.777 -0.205
Nd -2.226 5.834 6.992
Nd 8.664 7.234 3.949
Nd 7.566 11.095 3.502
Nd 0.218 6.684 4.491
Nd 5.745 0.328 -0.710
Nd 2.436 4.900 1.917
Nd 11.486 3.918 -3.498
Nd 9.518 0.684 0.685
C 4.902 0.665 5.016
Nd 4.880 -5.052 5.978
Ga 10.639 -2.169 1.436
C 6.178 1.649 -2.957
C 9.371 0.135 5.667
Ga 7.231 -3.239 4.908
Nd -0.733 3.323 11.819
Nd 6.183 1.433 2.837
Nd 9.585 -5.353 5.542
Nd 4.923 6.383 4.055
Ga -0.835 3.500 8.597
Ga 9.879 -6.898 2.806
Nd 4.458 -1.782 4.126
Ga 3.840 2.266 0.894
C 4.281 6.749 1.518
Nd -1.683 -2.587 13.531
Nd 5.345 3.113 5.907
Ga 5.963 -0.935 9.139
Ga -0.075 8.229 7.227
Nd 2.237 -9.764 6.531
Ga -0.844 0.212 12.340
Nd 2.292 3.582 8.185
Nd 7.058 -0.347 6.160
Nd 5.513 -8.881 4.860
Nd 8.133 3.110 -1.946
C 1.804 -3.446 10.238
Ga 2.442 -2.955 6.251
```

Summary:
* SG: Ia-3d, No. 230
* electronic total energy: -5.699 eV/atom
* formation energy: -78 meV/atom